# 1
Here is a geometry-optimized KBa2Mo structure from the Alexandria database. Energies are from PBEsol.

Computed properties:
- size of the total moment (μB per atom) = 0.77
- density of states at the Fermi level (states/eV/atom) = 0.841
- energy of formation from the pure elements (eV/atom) = 1.046
- distance to the lowest polymorph of the same formula (eV per atom) = 0.000
- total energy (eV per atom) = -3.25

a b c (Å): 8.5282 8.5282 8.5282
angles (deg): 90.00 90.00 90.00
Fractional positions:
K1 0.0000 0.0000 0.0000
K2 0.0000 0.5000 0.5000
K3 0.5000 0.0000 0.5000
K4 0.5000 0.5000 0.0000
Ba1 0.2500 0.2500 0.2500
Ba2 0.2500 0.2500 0.7500
Ba3 0.2500 0.7500 0.2500
Ba4 0.2500 0.7500 0.7500
Ba5 0.7500 0.2500 0.2500
Ba6 0.7500 0.2500 0.7500
Ba7 0.7500 0.7500 0.2500
Ba8 0.7500 0.7500 0.7500
Mo1 0.0000 0.0000 0.5000
Mo2 0.0000 0.5000 0.0000
Mo3 0.5000 0.0000 0.0000
Mo4 0.5000 0.5000 0.5000



# 2
Here is a geometry-optimized CaFe3Br structure from the Alexandria database. Energies are from PBEsol.

Computed properties:
- size of the total moment (μB per atom) = 1.51
- density of states at the Fermi level (states/eV/atom) = 1.373
- formation energy from raw total energies (meV per atom) = 2078
- total energy (eV per atom) = -4.10

a b c (Å): 4.6726 4.6726 4.6726
angles (deg): 90.00 90.00 90.00
Fractional positions:
Ca1 0.0000 0.0000 0.0000
Fe1 0.0000 0.0000 0.5000
Fe2 0.0000 0.5000 0.0000
Fe3 0.5000 0.0000 0.0000
Br1 0.5000 0.5000 0.5000



# 3
Here is a geometry-optimized Nd2Ge5Rh3 structure from the Alexandria database. Energies are from PBEsol.

Computed properties:
- size of the total moment (μB per atom) = 0.00
- density of states at the Fermi level (states/eV/atom) = 0.543
- energy of formation from the pure elements (eV/atom) = -0.867
- total energy (eV per atom) = -6.81

a b c (Å): 8.3457 8.3457 5.9662
angles (deg): 110.87 110.87 91.29
Fractional positions:
Nd1 0.0976 0.3645 0.2313
Nd2 0.3645 0.0976 0.7313
Nd3 0.6355 0.9024 0.2687
Nd4 0.9024 0.6355 0.7687
Ge1 0.9995 0.0005 0.2500
Ge2 0.0005 0.9995 0.7500
Ge3 0.2396 0.4378 0.8386
Ge4 0.2783 0.7217 0.2500
Ge5 0.2777 0.7223 0.7500
Ge6 0.4378 0.2396 0.3386
Ge7 0.5622 0.7604 0.6614
Ge8 0.7223 0.2777 0.2500
Ge9 0.7217 0.2783 0.7500
Ge10 0.7604 0.5622 0.1614
Rh1 0.0348 0.7532 0.3931
Rh2 0.2468 0.9652 0.1069
Rh3 0.4998 0.5002 0.2500
Rh4 0.5002 0.4998 0.7500
Rh5 0.7532 0.0348 0.8931
Rh6 0.9652 0.2468 0.6069



# 4
Here is a geometry-optimized GeCBr2 structure from the Alexandria database. Energies are from PBEsol.

Computed properties:
- size of the total moment (μB per atom) = 0.00
- density of states at the Fermi level (states/eV/atom) = 0.797
- formation energy from raw total energies (meV per atom) = 1551
- total energy (eV per atom) = -3.03

a b c (Å): 5.9900 5.9900 10.9936
angles (deg): 90.00 90.00 90.00
Fractional positions:
Ge1 0.0000 0.0000 0.0000
Ge2 0.0000 0.5000 0.2500
Ge3 0.5000 0.0000 0.7500
Ge4 0.5000 0.5000 0.5000
C1 0.0000 0.0000 0.5000
C2 0.0000 0.5000 0.7500
C3 0.5000 0.0000 0.2500
C4 0.5000 0.5000 0.0000
Br1 0.1178 0.2500 0.6250
Br2 0.2500 0.6178 0.8750
Br3 0.2500 0.8822 0.3750
Br4 0.3822 0.2500 0.1250
Br5 0.6178 0.7500 0.1250
Br6 0.7500 0.1178 0.3750
Br7 0.7500 0.3822 0.8750
Br8 0.8822 0.7500 0.6250



# 5
Here is a geometry-optimized K3NiC structure from the Alexandria database. Energies are from PBEsol.

Computed properties:
- size of the total moment (μB per atom) = 0.60
- density of states at the Fermi level (states/eV/atom) = 2.749
- energy of formation from the pure elements (eV/atom) = 1.423
- total energy (eV per atom) = -2.42

a b c (Å): 5.5424 5.5424 5.5424
angles (deg): 90.00 90.00 90.00
Fractional positions:
K1 0.0000 0.0000 0.5000
K2 0.0000 0.5000 0.0000
K3 0.5000 0.0000 0.0000
Ni1 0.5000 0.5000 0.5000
C1 0.0000 0.0000 0.0000



# 6
Here is a geometry-optimized KMoSN2 structure from the Alexandria database. Energies are from PBEsol.

Computed properties:
- size of the total moment (μB per atom) = 0.00
- density of states at the Fermi level (states/eV/atom) = 0.617
- formation energy from raw total energies (meV per atom) = -88
- total energy (eV per atom) = -6.96

a b c (Å): 3.9783 3.9783 4.8245
angles (deg): 90.00 90.00 90.00
Fractional positions:
K1 0.0000 0.0000 0.0000
Mo1 0.5000 0.5000 0.5000
S1 0.5000 0.5000 0.0000
N1 0.0000 0.5000 0.5000
N2 0.5000 0.0000 0.5000



# 7
Here is a geometry-optimized Cr6C3N structure from the Alexandria database. Energies are from PBEsol.

Computed properties:
- size of the total moment (μB per atom) = 0.00
- density of states at the Fermi level (states/eV/atom) = 0.731
- formation energy from raw total energies (meV per atom) = -225
- distance to the lowest polymorph of the same formula (eV per atom) = 0.068
- total energy (eV per atom) = -10.12

a b c (Å): 6.9014 4.7747 4.7747
angles (deg): 33.42 90.00 90.00
Fractional positions:
Cr1 0.0000 0.0000 0.0000
Cr2 0.1701 0.7334 0.7334
Cr3 0.3153 0.4482 0.4482
Cr4 0.5000 0.2081 0.2081
Cr5 0.6847 0.4482 0.4482
Cr6 0.8299 0.7334 0.7334
C1 0.0000 0.3511 0.3511
C2 0.2578 0.0943 0.0943
C3 0.7422 0.0943 0.0943
N1 0.5000 0.8542 0.8542



# 8
Here is a geometry-optimized NiPtRh2 structure from the Alexandria database. Energies are from PBEsol.

Computed properties:
- size of the total moment (μB per atom) = 0.19
- density of states at the Fermi level (states/eV/atom) = 1.536
- energy of formation from the pure elements (eV/atom) = -0.004
- total energy (eV per atom) = -7.35

a b c (Å): 3.7471 3.7471 7.4998
angles (deg): 90.00 90.00 90.00
Fractional positions:
Ni1 0.0000 0.0000 0.0000
Ni2 0.5000 0.5000 0.5000
Pt1 0.0000 0.0000 0.5000
Pt2 0.5000 0.5000 0.0000
Rh1 0.0000 0.5000 0.2500
Rh2 0.0000 0.5000 0.7500
Rh3 0.5000 0.0000 0.2500
Rh4 0.5000 0.0000 0.7500



# 9
Here is a geometry-optimized NiTeRh structure from the Alexandria database. Energies are from PBEsol.

Computed properties:
- size of the total moment (μB per atom) = 0.00
- density of states at the Fermi level (states/eV/atom) = 1.257
- formation energy from raw total energies (meV per atom) = 59
- total energy (eV per atom) = -5.88

a b c (Å): 5.8268 5.8268 5.8268
angles (deg): 90.00 90.00 90.00
Fractional positions:
Ni1 0.0000 0.0000 0.0000
Ni2 0.0000 0.5000 0.5000
Ni3 0.5000 0.0000 0.5000
Ni4 0.5000 0.5000 0.0000
Te1 0.2500 0.2500 0.7500
Te2 0.2500 0.7500 0.2500
Te3 0.7500 0.2500 0.2500
Te4 0.7500 0.7500 0.7500
Rh1 0.2500 0.2500 0.2500
Rh2 0.2500 0.7500 0.7500
Rh3 0.7500 0.2500 0.7500
Rh4 0.7500 0.7500 0.2500



# 10
Here is a geometry-optimized CrHPd3 structure from the Alexandria database. Energies are from PBEsol.

Computed properties:
- size of the total moment (μB per atom) = 0.65
- density of states at the Fermi level (states/eV/atom) = 0.928
- total energy (eV per atom) = -6.36

a b c (Å): 3.9040 3.9040 3.9040
angles (deg): 90.00 90.00 90.00
Fractional positions:
Cr1 0.0000 0.0000 0.0000
H1 0.5000 0.5000 0.5000
Pd1 0.0000 0.5000 0.5000
Pd2 0.5000 0.0000 0.5000
Pd3 0.5000 0.5000 0.0000



# 11
Here is a geometry-optimized BaMnPt2 structure from the Alexandria database. Energies are from PBEsol.

Computed properties:
- size of the total moment (μB per atom) = 1.09
- density of states at the Fermi level (states/eV/atom) = 0.444
- energy of formation from the pure elements (eV/atom) = -0.169
- total energy (eV per atom) = -6.63

a b c (Å): 3.2790 3.2790 7.3732
angles (deg): 90.00 90.00 90.00
Fractional positions:
Ba1 0.0000 0.0000 0.0000
Mn1 0.0000 0.0000 0.5000
Pt1 0.5000 0.5000 0.3143
Pt2 0.5000 0.5000 0.6857



# 12
Here is a geometry-optimized LaZnHg2 structure from the Alexandria database. Energies are from PBEsol.

Computed properties:
- size of the total moment (μB per atom) = 0.00
- density of states at the Fermi level (states/eV/atom) = 0.696
- energy of formation from the pure elements (eV/atom) = -0.295
- total energy (eV per atom) = -2.31

a b c (Å): 3.2969 4.6728 6.1602
angles (deg): 90.00 92.70 90.00
Fractional positions:
La1 0.0000 0.0000 0.0000
Zn1 0.5000 0.0000 0.5000
Hg1 0.4720 0.5000 0.7373
Hg2 0.5280 0.5000 0.2627



# 13
Here is a geometry-optimized CaZrF2 structure from the Alexandria database. Energies are from PBEsol.

Computed properties:
- size of the total moment (μB per atom) = 0.00
- density of states at the Fermi level (states/eV/atom) = 0.504
- formation energy from raw total energies (meV per atom) = -1903
- distance to the lowest polymorph of the same formula (eV per atom) = 0.519
- total energy (eV per atom) = -5.67

a b c (Å): 3.1598 3.1598 23.0575
angles (deg): 90.00 90.00 120.00
Fractional positions:
Ca1 0.0000 0.0000 0.0000
Ca2 0.3333 0.6667 0.6667
Ca3 0.6667 0.3333 0.3333
Zr1 0.0000 0.0000 0.5000
Zr2 0.3333 0.6667 0.1667
Zr3 0.6667 0.3333 0.8333
F1 0.0000 0.0000 0.0984
F2 0.0000 0.0000 0.9016
F3 0.3333 0.6667 0.5682
F4 0.3333 0.6667 0.7651
F5 0.6667 0.3333 0.2349
F6 0.6667 0.3333 0.4318



# 14
Here is a geometry-optimized AlCr3Br structure from the Alexandria database. Energies are from PBEsol.

Computed properties:
- size of the total moment (μB per atom) = 0.36
- density of states at the Fermi level (states/eV/atom) = 1.198
- formation energy from raw total energies (meV per atom) = 1257
- total energy (eV per atom) = -6.08

a b c (Å): 4.2844 4.2844 4.2844
angles (deg): 90.00 90.00 90.00
Fractional positions:
Al1 0.0000 0.0000 0.0000
Cr1 0.0000 0.5000 0.5000
Cr2 0.5000 0.0000 0.5000
Cr3 0.5000 0.5000 0.0000
Br1 0.5000 0.5000 0.5000



# 15
Here is a geometry-optimized Ca2NbSbTe structure from the Alexandria database. Energies are from PBEsol.

Computed properties:
- size of the total moment (μB per atom) = 0.00
- density of states at the Fermi level (states/eV/atom) = 0.945
- formation energy from raw total energies (meV per atom) = 288
- total energy (eV per atom) = -4.35

a b c (Å): 5.6455 5.6455 5.1270
angles (deg): 90.00 90.00 90.00
Fractional positions:
Ca1 0.0000 0.5000 0.0000
Ca2 0.5000 0.0000 0.0000
Nb1 0.0000 0.0000 0.0000
Sb1 0.0000 0.0000 0.5000
Te1 0.5000 0.5000 0.5000



# 16
Here is a geometry-optimized CrFeRh2 structure from the Alexandria database. Energies are from PBEsol.

Computed properties:
- size of the total moment (μB per atom) = 0.61
- density of states at the Fermi level (states/eV/atom) = 0.964
- energy of formation from the pure elements (eV/atom) = 0.011
- total energy (eV per atom) = -8.86

a b c (Å): 2.6153 2.6153 25.2204
angles (deg): 90.00 90.00 120.00
Fractional positions:
Cr1 0.0000 0.0000 0.0000
Cr2 0.3333 0.6667 0.6667
Cr3 0.6667 0.3333 0.3333
Fe1 0.0000 0.0000 0.5000
Fe2 0.3333 0.6667 0.1667
Fe3 0.6667 0.3333 0.8333
Rh1 0.0000 0.0000 0.2517
Rh2 0.0000 0.0000 0.7483
Rh3 0.3333 0.6667 0.4150
Rh4 0.3333 0.6667 0.9184
Rh5 0.6667 0.3333 0.0816
Rh6 0.6667 0.3333 0.5850



# 17
Here is a geometry-optimized MgAs2Pb structure from the Alexandria database. Energies are from PBEsol.

Computed properties:
- size of the total moment (μB per atom) = 0.00
- density of states at the Fermi level (states/eV/atom) = 0.564
- energy of formation from the pure elements (eV/atom) = -0.094
- total energy (eV per atom) = -4.08

a b c (Å): 7.4121 3.9694 6.6209
angles (deg): 90.00 108.66 90.00
Fractional positions:
Mg1 0.0000 0.0000 0.0000
Mg2 0.5000 0.5000 0.0000
As1 0.2449 0.5000 0.2115
As2 0.2551 0.0000 0.7885
As3 0.7449 0.0000 0.2115
As4 0.7551 0.5000 0.7885
Pb1 0.0000 0.5000 0.5000
Pb2 0.5000 0.0000 0.5000



# 18
Here is a geometry-optimized NdTm3 structure from the Alexandria database. Energies are from PBEsol.

Computed properties:
- size of the total moment (μB per atom) = 0.00
- density of states at the Fermi level (states/eV/atom) = 1.322
- energy of formation from the pure elements (eV/atom) = 0.021
- distance to the lowest polymorph of the same formula (eV per atom) = 0.008
- total energy (eV per atom) = -4.95

a b c (Å): 4.8995 4.8995 4.8995
angles (deg): 90.00 90.00 90.00
Fractional positions:
Nd1 0.0000 0.0000 0.0000
Tm1 0.0000 0.5000 0.5000
Tm2 0.5000 0.0000 0.5000
Tm3 0.5000 0.5000 0.0000



# 19
Here is a geometry-optimized SiTe2 structure from the Alexandria database. Energies are from PBEsol.

Computed properties:
- size of the total moment (μB per atom) = 0.00
- density of states at the Fermi level (states/eV/atom) = 0.633
- formation energy from raw total energies (meV per atom) = 433
- total energy (eV per atom) = -3.83

a b c (Å): 5.2206 5.2206 3.0111
angles (deg): 90.00 90.00 90.00
Fractional positions:
Si1 0.0000 0.0000 0.0000
Te1 0.0000 0.5000 0.5000
Te2 0.5000 0.0000 0.5000



# 20
Here is a geometry-optimized BeTe2P structure from the Alexandria database. Energies are from PBEsol.

Computed properties:
- size of the total moment (μB per atom) = 0.00
- density of states at the Fermi level (states/eV/atom) = 0.576
- formation energy from raw total energies (meV per atom) = 472
- distance to the lowest polymorph of the same formula (eV per atom) = 0.000
- total energy (eV per atom) = -3.74

a b c (Å): 3.7167 3.7167 23.8102
angles (deg): 90.00 90.00 120.00
Fractional positions:
Be1 0.0000 0.0000 0.0000
Be2 0.3333 0.6667 0.6667
Be3 0.6667 0.3333 0.3333
Te1 0.0000 0.0000 0.3928
Te2 0.0000 0.0000 0.6072
Te3 0.3333 0.6667 0.0594
Te4 0.3333 0.6667 0.2739
Te5 0.6667 0.3333 0.7261
Te6 0.6667 0.3333 0.9406
P1 0.0000 0.0000 0.5000
P2 0.3333 0.6667 0.1667
P3 0.6667 0.3333 0.8333